# 1
# HoTmZr2 GGA-PBE optimized geometry
# Formation energy, kJ/mol of formula units: 81
data_HoTmZr2
_symmetry_space_group_name_H-M 'P 4/m m m'
_symmetry_Int_Tables_number 123
_symmetry_space_group_name_Hall '-P 4 2'
_cell_length_a 3.915
_cell_length_b 3.915
_cell_length_c 6.818
_cell_angle_alpha 90.00
_cell_angle_beta 90.00
_cell_angle_gamma 90.00
loop_
_atom_site_label
_atom_site_fract_x
_atom_site_fract_y
_atom_site_fract_z
Ho1 0.000 0.000 0.000
Tm1 0.000 0.000 0.500
Zr1 0.500 0.500 0.268

# 2
# Ho8Tm3Zr GGA-PBE optimized geometry
# Formation energy, kJ/mol of formula units: 45
data_Ho8Tm3Zr
_symmetry_space_group_name_H-M 'C 1 2/m 1'
_symmetry_Int_Tables_number 12
_cell_length_a 9.891
_cell_length_b 9.838
_cell_length_c 7.771
_cell_angle_alpha 90.00
_cell_angle_beta 108.68
_cell_angle_gamma 90.00
loop_
_symmetry_equiv_pos_as_xyz
'x,y,z'
'-x,-y,-z'
'-x,y,-z'
'x,-y,z'
'x+1/2,y+1/2,z'
'-x+1/2,-y+1/2,-z'
'-x+1/2,y+1/2,-z'
'x+1/2,-y+1/2,z'
loop_
_atom_site_label
_atom_site_fract_x
_atom_site_fract_y
_atom_site_fract_z
Ho1 0.082 0.245 0.327
Ho2 0.164 0.000 0.676
Ho3 0.173 0.500 0.672
Tm1 0.000 0.500 0.000
Tm2 0.250 0.250 0.000
Zr1 0.000 0.000 0.000

# 3
# Ho2Tm4Zr GGA-PBE optimized geometry
# Formation energy, kJ/mol of formula units: 16
data_Ho2Tm4Zr
_symmetry_space_group_name_H-M 'R 3 m'
_symmetry_Int_Tables_number 160
_symmetry_space_group_name_Hall 'R 3 -2"'
_cell_length_a 3.5007
_cell_length_b 3.5007
_cell_length_c 57.9159
_cell_angle_alpha 90.00
_cell_angle_beta 90.00
_cell_angle_gamma 120.00
loop_
_atom_site_label
_atom_site_fract_x
_atom_site_fract_y
_atom_site_fract_z
Ho1 0.0000 0.0000 0.0000
Ho2 0.0000 0.0000 0.0973
Tm1 0.0000 0.0000 0.2849
Tm2 0.0000 0.0000 0.3822
Tm3 0.0000 0.0000 0.8139
Tm4 0.0000 0.0000 0.9025
Zr1 0.0000 0.0000 0.1914

# 4
# HoTm6Zr2 GGA-PBE optimized geometry
# Formation energy, kJ/mol of formula units: 59
data_HoTm6Zr2
_symmetry_space_group_name_H-M 'P -6 m 2'
_symmetry_Int_Tables_number 187
_symmetry_space_group_name_Hall 'P -6 2'
_cell_length_a 3.4651
_cell_length_b 3.4651
_cell_length_c 25.0445
_cell_angle_alpha 90.00
_cell_angle_beta 90.00
_cell_angle_gamma 120.00
loop_
_atom_site_label
_atom_site_fract_x
_atom_site_fract_y
_atom_site_fract_z
Ho1 0.0000 0.0000 0.0000
Tm1 0.0000 0.0000 0.2269
Tm2 0.0000 0.0000 0.4328
Tm3 0.3333 0.6667 0.1132
Zr1 0.3333 0.6667 0.3312